Record 1
The following is a DFT calculation (PBE) of a geometry-optimized TiAlRe3 structure.

Cell and atoms, written as POSCAR:
```
TiAlRe3
1.0
4.541 0.000 0.000
0.000 4.541 0.000
0.000 0.000 4.541
Ti Al Re
1 1 3
Cartesian
0.000 0.000 0.000
2.270 2.270 2.270
0.000 0.000 2.270
0.000 2.270 0.000
2.270 0.000 0.000
```

Properties
The space-group type is No. 221. For the calculated volume, the calculation gives 18.73 Å³ per atom. The value obtained for the size of the total moment is 0.0 μB per formula unit. Its formation energy from the elements is 1.793 eV per atom. The calculated total energy is -8.00 eV per atom.

---

Record 2
The following is a DFT calculation (PBE) of a geometry-optimized Ti4AlRe structure.

Cell and atoms, written as POSCAR:
```
Ti4AlRe
1.0
4.794 -2.222 0.000
4.794 2.222 0.000
-3.278 0.000 4.577
Ti Al Re
4 1 1
Cartesian
0.396 0.000 1.415
-0.921 0.000 3.898
7.231 0.000 0.680
5.914 0.000 3.163
3.155 0.000 2.289
4.794 0.000 0.000
```

Properties
The space-group type is No. 12. For the calculated volume, the calculation gives 16.25 Å³ per atom. The value obtained for the size of the total moment is 0.0 μB per formula unit. Its formation energy from the elements is -0.218 eV per atom. The calculated total energy is -8.18 eV per atom.